[1]
Computed, not measured: Hf3SiTe3 after structural relaxation at the GGA-PBE level of DFT.

Computed properties:
- uncorrected formation energy (eV per atom) = -0.76

abc: 11.189 11.189 11.189
angles: 90.00 90.00 90.00
Space group I4_132 (No. 214)
One atom of each set of equivalent atoms:
Hf: 0.110 0.360 0.125 x24
Si: 0.125 0.125 0.125 x8
Te: 0.117 0.133 0.625 x24

=====

[2]
Computed, not measured: Cs2TlPtN after structural relaxation at the GGA-PBE level of DFT.

Computed properties:
- uncorrected formation energy (eV per atom) = 0.01

abc: 6.858 6.858 3.742
angles: 90.00 90.00 90.00
Space group P4/mmm (No. 123)
One atom of each set of equivalent atoms:
Cs: 0.000 0.500 0.000 x2
Tl: 0.000 0.000 0.500 x1
Pt: 0.500 0.500 0.500 x1
N: 0.500 0.500 0.000 x1

=====

[3]
Computed, not measured: ThMg2Rh2 after structural relaxation at the GGA-PBE level of DFT.

Computed properties:
- uncorrected energy (eV per atom) = -5.649

abc: 4.6875 4.6875 5.5743
angles: 90.00 90.00 120.00
Space group P-3m1 (No. 164)
One atom of each set of equivalent atoms:
Th: 0.0000 0.0000 0.0000 x1
Mg: 0.3333 0.6667 0.6254 x2
Rh: 0.3333 0.6667 0.1419 x2

=====

Please write out number 1 again, unchanged.
Computed, not measured: Hf3SiTe3 after structural relaxation at the GGA-PBE level of DFT.

Computed properties:
- uncorrected formation energy (eV per atom) = -0.76

abc: 11.189 11.189 11.189
angles: 90.00 90.00 90.00
Space group I4_132 (No. 214)
One atom of each set of equivalent atoms:
Hf: 0.110 0.360 0.125 x24
Si: 0.125 0.125 0.125 x8
Te: 0.117 0.133 0.625 x24